Entry from Alexandria: a geometry-optimized ZnAu structure (PBE).

## Properties
theoretical density: 13.24 g/cm3
energy relative to the elements: -192 meV/atom
DFT total energy: -2.468 eV/atom

Lattice parameters (Å, degrees): 3.184 5.104 6.765 71.99 90.00 71.82
Atoms (fractional coordinates):
Au 0.965 0.070 0.985
Zn 0.269 0.463 0.072
Au 0.679 0.642 0.327
Zn 0.969 0.063 0.402
Zn 0.330 0.339 0.646
Au 0.622 0.757 0.735

=====

Entry from Alexandria: a geometry-optimized Zn3Au2 structure (PBE).

## Properties
theoretical density: 10.92 g/cm3
energy relative to the elements: -189 meV/atom
DFT total energy: -2.264 eV/atom

Lattice parameters (Å, degrees): 4.393 4.393 5.369 90.00 90.00 120.00
Atoms (fractional coordinates):
Au 0.667 0.333 0.163
Zn 0.000 0.000 0.000
Zn 0.667 0.333 0.644
Au 0.333 0.667 0.837
Zn 0.333 0.667 0.356

=====

Entry from Alexandria: a geometry-optimized Zn2Au5 structure (PBE).

## Properties
theoretical density: 15.47 g/cm3
energy relative to the elements: -137 meV/atom
DFT total energy: -2.842 eV/atom

Lattice parameters (Å, degrees): 4.880 7.543 6.966 93.92 110.50 90.00
Atoms (fractional coordinates):
Au 0.782 0.250 0.000
Au 0.218 0.750 0.000
Au 0.941 0.955 0.254
Zn 0.231 0.398 0.840
Au 0.888 0.320 0.434
Au 0.546 0.820 0.434
Au 0.454 0.180 0.566
Zn 0.609 0.898 0.840
Au 0.687 0.545 0.746
Au 0.059 0.045 0.746
Zn 0.391 0.102 0.160
Zn 0.769 0.602 0.160
Au 0.112 0.680 0.566
Au 0.313 0.455 0.254

=====

Entry from Alexandria: a geometry-optimized Zn6Au7 structure (PBE).

## Properties
theoretical density: 11.83 g/cm3
energy relative to the elements: -37 meV/atom
DFT total energy: -2.390 eV/atom

Lattice parameters (Å, degrees): 9.700 9.700 9.700 33.57 33.57 33.57
Atoms (fractional coordinates):
Au 0.078 0.577 0.577
Au 0.922 0.423 0.423
Au 0.577 0.078 0.577
Zn 0.333 0.333 0.333
Zn 0.826 0.826 0.826
Zn 0.174 0.174 0.174
Zn 0.667 0.667 0.667
Au 0.423 0.423 0.922
Zn 0.077 0.077 0.077
Au 0.577 0.577 0.078
Au 0.500 0.500 0.500
Au 0.423 0.922 0.423
Zn 0.923 0.923 0.923